# 1
Entry from the Alexandria database: a geometry-optimized Sm4Te3S structure (GGA-PBE).

Cell lengths 7.585, 7.585, 4.282 Å; angles 90.00, 90.00, 109.03 degrees
Atoms (fractional coordinates):
Sm 0.215 0.215 0.500
Sm 0.226 0.774 0.000
Sm 0.774 0.226 0.000
Sm 0.785 0.785 0.500
Te 0.000 0.500 0.500
Te 0.500 0.000 0.500
Te 0.500 0.500 0.000
S 0.000 0.000 0.000

Computed properties:
Theoretical density: 7.2 g/cm³
Total DFT energy (no corrections): -5.588 eV/atom
Space group: Cmmm (65)
Formation energy (no corrections): -1.534 eV per atom

***

# 2
Entry from the Alexandria database: a geometry-optimized NaTlAgSb structure (GGA-PBE).

Cell lengths 5.192, 5.192, 5.192 Å; angles 60.00, 60.00, 60.00 degrees
Atoms (fractional coordinates):
Na 0.000 0.000 0.000
Tl 0.250 0.250 0.250
Ag 0.500 0.500 0.500
Sb 0.750 0.750 0.750

Computed properties:
Theoretical density: 7.7 g/cm³
Total DFT energy (no corrections): -2.779 eV/atom
Relative energy among the computed polymorphs: 0.0 meV/atom
Space group: F-43m (216)
Formation energy (no corrections): -0.115 eV per atom

***

# 3
Entry from the Alexandria database: a geometry-optimized RbCu3As2 structure (GGA-PBE).

Cell lengths 8.019, 8.019, 8.618 Å; angles 109.83, 109.83, 28.51 degrees
Atoms (fractional coordinates):
Rb 0.142 0.142 0.044
Rb 0.858 0.858 0.956
Cu 0.051 0.051 0.407
Cu 0.314 0.314 0.550
Cu 0.416 0.416 0.380
Cu 0.584 0.584 0.620
Cu 0.686 0.686 0.450
Cu 0.949 0.949 0.593
As 0.191 0.191 0.659
As 0.473 0.473 0.760
As 0.527 0.527 0.240
As 0.809 0.809 0.341

Computed properties:
Formation energy from the elements: -153 meV/atom
Theoretical density: 5.7 g/cm³
Total DFT energy (no corrections): -3.912 eV/atom
Relative energy among the computed polymorphs: 0.0 meV/atom
Space group: C2/m (12)

***

# 4
Entry from the Alexandria database: a geometry-optimized CuMoPb3 structure (GGA-PBE).

Cell lengths 5.207, 5.207, 5.207 Å; angles 90.00, 90.00, 90.00 degrees
Atoms (fractional coordinates):
Cu 0.000 0.000 0.000
Mo 0.500 0.500 0.500
Pb 0.000 0.000 0.500
Pb 0.000 0.500 0.000
Pb 0.500 0.000 0.000

Computed properties:
Formation energy from the elements: 989 meV/atom
Theoretical density: 9.2 g/cm³
Total DFT energy (no corrections): -4.222 eV/atom
Relative energy among the computed polymorphs: 192.4 meV/atom
Space group: Pm-3m (221)

***

# 5
Entry from the Alexandria database: a geometry-optimized TlCdGa4 structure (GGA-PBE).

Cell lengths 4.573, 4.573, 7.615 Å; angles 90.00, 90.00, 120.00 degrees
Atoms (fractional coordinates):
Tl 0.000 0.000 0.000
Cd 0.000 0.000 0.500
Ga 0.333 0.667 0.288
Ga 0.333 0.667 0.712
Ga 0.667 0.333 0.288
Ga 0.667 0.333 0.712

Computed properties:
Formation energy from the elements: 65 meV/atom
Theoretical density: 7.2 g/cm³
Total DFT energy (no corrections): -2.500 eV/atom
Relative energy among the computed polymorphs: 0.0 meV/atom
Space group: P6/mmm (191)

***

# 6
Entry from the Alexandria database: a geometry-optimized TlCS3 structure (GGA-PBE).

Cell lengths 5.106, 5.106, 5.106 Å; angles 90.00, 90.00, 90.00 degrees
Atoms (fractional coordinates):
Tl 0.000 0.000 0.000
C 0.500 0.500 0.500
S 0.000 0.000 0.500
S 0.000 0.500 0.000
S 0.500 0.000 0.000

Computed properties:
Theoretical density: 3.9 g/cm³
Total DFT energy (no corrections): -2.459 eV/atom
Relative energy among the computed polymorphs: 1273.7 meV/atom
Space group: Pm-3m (221)
Formation energy (no corrections): 2.336 eV per atom

***

> Look up the total DFT energy (no corrections) of the third one.

-3.912 eV/atom

***

> Among the records above, which one has the lowest total DFT energy (no corrections)?

Sm4Te3S